Density functional theory data (PBE) for a relaxed Cu2AgBr6 crystal.

Unit cell a=12.675 b=11.108 c=7.504 alpha=90.00 beta=91.00 gamma=90.00
Space group C2/c (No. 15)
Asymmetric unit:
Cu: 0.186 0.070 0.306 [8 per cell]
Ag: 0.000 0.399 0.250 [4 per cell]
Br: 0.122 0.428 0.650 [8 per cell]
Br: 0.128 0.239 0.129 [8 per cell]
Br: 0.134 0.090 0.608 [8 per cell]

Values from the calculation:
Crystal system = monoclinic
DFT total energy = -2.556 eV/atom
Total moment = 0.75 μB/f.u.



Density functional theory data (PBE) for a relaxed CuAg3Br crystal.

Unit cell a=5.231 b=5.231 c=5.231 alpha=90.00 beta=90.00 gamma=90.00
Space group Pm-3m (No. 221)
Asymmetric unit:
Cu: 0.000 0.000 0.000 [1 per cell]
Ag: 0.000 0.500 0.500 [3 per cell]
Br: 0.500 0.500 0.500 [1 per cell]

Values from the calculation:
Crystal system = cubic
DFT total energy = -1.953 eV/atom
Total moment = 0.00 μB/f.u.



Density functional theory data (PBE) for a relaxed CuAg6Br8 crystal.

Unit cell a=11.5983 b=11.5983 c=12.0057 alpha=90.00 beta=90.00 gamma=120.00
Space group R-3 (No. 148, hexagonal axes)
Asymmetric unit:
Cu: 0.0000 0.0000 0.0000 [3 per cell]
Ag: 0.0365 0.2103 0.3602 [18 per cell]
Br: 0.0000 0.0000 0.1877 [6 per cell]
Br: 0.0497 0.2765 0.6011 [18 per cell]

Values from the calculation:
Crystal system = trigonal
DFT total energy = -2.553 eV/atom
Total moment = 0.00 μB/f.u.



Density functional theory data (PBE) for a relaxed Cu2Ag5Br12 crystal.

Unit cell a=8.207 b=8.241 c=10.499 alpha=68.70 beta=78.78 gamma=64.13
Space group P-1 (No. 2)
Asymmetric unit:
Cu: 0.245 0.260 0.487 [2 per cell]
Ag: 0.000 0.500 0.000 [1 per cell]
Ag: 0.167 0.960 0.851 [2 per cell]
Ag: 0.268 0.582 0.652 [2 per cell]
Br: 0.163 0.290 0.275 [2 per cell]
Br: 0.169 0.037 0.073 [2 per cell]
Br: 0.227 0.949 0.585 [2 per cell]
Br: 0.253 0.572 0.408 [2 per cell]
Br: 0.303 0.543 0.903 [2 per cell]
Br: 0.327 0.209 0.709 [2 per cell]

Values from the calculation:
Crystal system = triclinic
DFT total energy = -2.475 eV/atom
Total moment = 0.00 μB/f.u.



Density functional theory data (PBE) for a relaxed Cu5AgBr12 crystal.

Unit cell a=6.642 b=6.658 c=13.259 alpha=89.03 beta=87.25 gamma=74.44
Space group P-1 (No. 2)
Asymmetric unit:
Cu: 0.000 0.000 0.000 [1 per cell]
Cu: 0.165 0.664 0.500 [2 per cell]
Cu: 0.334 0.334 0.000 [2 per cell]
Ag: 0.500 0.000 0.500 [1 per cell]
Br: 0.061 0.261 0.112 [2 per cell]
Br: 0.087 0.402 0.611 [2 per cell]
Br: 0.223 0.921 0.382 [2 per cell]
Br: 0.274 0.072 0.889 [2 per cell]
Br: 0.393 0.596 0.111 [2 per cell]
Br: 0.410 0.711 0.618 [2 per cell]

Values from the calculation:
Crystal system = triclinic
DFT total energy = -2.687 eV/atom
Total moment = 3.04 μB/f.u.



Density functional theory data (PBE) for a relaxed CuAg2Br2F crystal.

Unit cell a=13.785 b=7.030 c=5.796 alpha=90.00 beta=90.00 gamma=90.00
Space group Cmc2_1 (No. 36)
Asymmetric unit:
Cu: 0.000 0.120 0.000 [4 per cell]
Ag: 0.151 0.321 0.544 [8 per cell]
Br: 0.151 0.281 0.054 [8 per cell]
F: 0.000 0.156 0.603 [4 per cell]

Values from the calculation:
Crystal system = orthorhombic
DFT total energy = -3.007 eV/atom
Total moment = 0.11 μB/f.u.



Density functional theory data (PBE) for a relaxed CuAgBrF2 crystal.

Unit cell a=3.876 b=3.876 c=5.890 alpha=90.00 beta=90.00 gamma=90.00
Space group P4/mmm (No. 123)
Asymmetric unit:
Cu: 0.000 0.000 0.000 [1 per cell]
Ag: 0.500 0.500 0.500 [1 per cell]
Br: 0.000 0.000 0.500 [1 per cell]
F: 0.000 0.500 0.000 [2 per cell]

Values from the calculation:
Crystal system = tetragonal
DFT total energy = -3.445 eV/atom
Total moment = 0.00 μB/f.u.



Density functional theory data (PBE) for a relaxed CuAg5Br4F2 crystal.

Unit cell a=7.708 b=12.077 c=5.935 alpha=90.00 beta=90.00 gamma=90.00
Space group Amm2 (No. 38)
Asymmetric unit:
Cu: 0.000 0.000 0.000 [2 per cell]
Ag: 0.267 0.208 0.401 [8 per cell]
Ag: 0.500 0.000 0.845 [2 per cell]
Br: 0.000 0.159 0.741 [4 per cell]
Br: 0.267 0.000 0.209 [4 per cell]
F: 0.500 0.181 0.683 [4 per cell]

Values from the calculation:
Crystal system = orthorhombic
DFT total energy = -2.904 eV/atom
Total moment = 0.00 μB/f.u.



Density functional theory data (PBE) for a relaxed CuAgBrF2 crystal.

Unit cell a=3.820 b=3.820 c=6.444 alpha=90.00 beta=90.00 gamma=90.00
Space group P4/mmm (No. 123)
Asymmetric unit:
Cu: 0.000 0.000 0.000 [1 per cell]
Ag: 0.000 0.000 0.500 [1 per cell]
Br: 0.500 0.500 0.500 [1 per cell]
F: 0.000 0.500 0.000 [2 per cell]

Values from the calculation:
Crystal system = tetragonal
DFT total energy = -3.420 eV/atom
Total moment = 0.00 μB/f.u.



Density functional theory data (PBE) for a relaxed CuAg2Br2F2 crystal.

Unit cell a=11.785 b=3.811 c=7.013 alpha=90.00 beta=125.14 gamma=90.00
Space group C2/m (No. 12)
Asymmetric unit:
Cu: 0.000 0.000 0.000 [2 per cell]
Ag: 0.157 0.000 0.686 [4 per cell]
Br: 0.071 0.500 0.324 [4 per cell]
F: 0.182 0.000 0.073 [4 per cell]

Values from the calculation:
Crystal system = monoclinic
DFT total energy = -3.151 eV/atom
Total moment = 1.02 μB/f.u.



Density functional theory data (PBE) for a relaxed FeCuAgBr5 crystal.

Unit cell a=11.835 b=10.093 c=9.376 alpha=90.00 beta=111.23 gamma=90.00
Space group C2/c (No. 15)
Asymmetric unit:
Fe: 0.000 0.177 0.250 [4 per cell]
Cu: 0.000 0.500 0.000 [4 per cell]
Ag: 0.000 0.132 0.750 [4 per cell]
Br: 0.000 0.389 0.750 [4 per cell]
Br: 0.115 0.311 0.142 [8 per cell]
Br: 0.145 0.046 0.444 [8 per cell]

Values from the calculation:
Crystal system = monoclinic
DFT total energy = -3.326 eV/atom
Total moment = 4.98 μB/f.u.



Density functional theory data (PBE) for a relaxed CuAg2HgBr6 crystal.

Unit cell a=6.928 b=7.104 c=7.385 alpha=71.41 beta=69.17 gamma=68.77
Space group P1 (No. 1)
Asymmetric unit:
Cu: 0.000 0.000 0.000 [1 per cell]
Ag: 0.274 0.353 0.177 [1 per cell]
Ag: 0.611 0.889 0.785 [1 per cell]
Hg: 0.455 0.533 0.544 [1 per cell]
Br: 0.051 0.784 0.778 [1 per cell]
Br: 0.285 0.259 0.576 [1 per cell]
Br: 0.315 0.749 0.115 [1 per cell]
Br: 0.648 0.200 0.920 [1 per cell]
Br: 0.716 0.739 0.456 [1 per cell]
Br: 0.943 0.238 0.197 [1 per cell]

Values from the calculation:
Crystal system = triclinic
DFT total energy = -2.326 eV/atom
Total moment = 1.00 μB/f.u.



| no. | DOS(E_F) (states/eV/atom) | theoretical density (g/cm³) | ΔE_f (raw) (eV per atom) |
| --- | --- | --- | --- |
| 1 | 1.14 | 4.5 | -0.21 |
| 2 | 0.35 | 5.4 | 0.91 |
| 3 | 1.07 | 4.8 | -0.25 |
| 4 | 0.55 | 4.5 | -0.24 |
| 5 | 0.58 | 4.1 | -0.28 |
| 6 | 0.62 | 5.4 | -0.50 |
| 7 | 0.35 | 5.4 | -0.97 |
| 8 | 0.61 | 5.8 | -0.51 |
| 9 | 0.24 | 5.1 | -0.95 |
| 10 | 0.43 | 6.2 | -0.74 |
| 11 | 0.42 | 4.0 | -0.35 |
| 12 | 0.14 | 5.2 | -0.31 |